(1)
Ba3ErRu2O9 (PBE-GGA, optimized geometry); crystal system = hexagonal; excess energy over the best structure of this formula in the dataset = 0.0 meV per atom; ΔE_f (raw) = -2.22 eV per atom; total magnetization = 3.00 μB per formula unit
1.0
5.9428 0.0000 0.0000
-2.9714 5.1466 0.0000
0.0000 0.0000 14.5363
O Ru Er Ba
18 4 2 6
Direct
0.8246 0.6492 0.9127 O
0.9807 0.4904 0.7500 O
0.4904 0.9807 0.2500 O
0.3508 0.1754 0.9127 O
0.8246 0.1754 0.9127 O
0.8246 0.6492 0.5873 O
0.5097 0.4904 0.7500 O
0.8246 0.1754 0.5873 O
0.1754 0.8246 0.0873 O
0.6492 0.8246 0.0873 O
0.3508 0.1754 0.5873 O
0.1754 0.3508 0.4127 O
0.6492 0.8246 0.4127 O
0.1754 0.8246 0.4127 O
0.0193 0.5097 0.2500 O
0.4904 0.5097 0.2500 O
0.5097 0.0193 0.7500 O
0.1754 0.3508 0.0873 O
0.6667 0.3333 0.8360 Ru
0.6667 0.3333 0.6640 Ru
0.3333 0.6667 0.1640 Ru
0.3333 0.6667 0.3360 Ru
0.0000 0.0000 0.0000 Er
0.0000 0.0000 0.5000 Er
0.3333 0.6667 0.5934 Ba
0.6667 0.3333 0.0934 Ba
0.0000 0.0000 0.7500 Ba
0.6667 0.3333 0.4066 Ba
0.0000 0.0000 0.2500 Ba
0.3333 0.6667 0.9066 Ba

(2)
Ba3ErRu2O9 (PBE-GGA, optimized geometry); crystal system = trigonal; excess energy over the best structure of this formula in the dataset = 18.9 meV per atom; ΔE_f (raw) = -2.20 eV per atom; total magnetization = 4.95 μB per formula unit
1.0
-0.6853 -5.7537 0.9447
4.2899 2.9328 2.7318
-4.4715 1.4329 5.4836
O Ru Ba Er
9 2 3 1
Direct
0.8245 0.1755 0.6796 O
0.0000 0.5000 0.0000 O
0.1755 0.8245 0.3204 O
0.6490 0.8245 0.3204 O
0.1755 0.3510 0.3204 O
0.3510 0.1755 0.6796 O
0.5000 0.5000 0.0000 O
0.8245 0.6490 0.6796 O
0.5000 0.0000 0.0000 O
0.3333 0.6667 0.1631 Ru
0.6667 0.3333 0.8369 Ru
0.0000 0.0000 0.0000 Ba
0.3333 0.6667 0.6754 Ba
0.6667 0.3333 0.3246 Ba
0.0000 0.0000 0.5000 Er

(3)
Ba4ErSb3O12 (PBE-GGA, optimized geometry); crystal system = cubic; ΔE_f (raw) = -2.30 eV per atom; total magnetization = 0.00 μB per formula unit
1.0
7.3900 0.0000 0.0000
-2.4633 6.9673 0.0000
-2.4633 -3.4837 6.0339
O Er Ba Sb
12 1 4 3
Direct
0.5000 0.2500 0.7500 O
0.2500 0.5000 0.7500 O
0.7500 0.5000 0.2500 O
0.2500 0.7500 0.5000 O
0.5000 0.7500 0.2500 O
0.0000 0.7408 0.7408 O
0.2592 0.2592 0.0000 O
0.7408 0.0000 0.7408 O
0.2592 0.0000 0.2592 O
0.0000 0.2592 0.2592 O
0.7500 0.2500 0.5000 O
0.7408 0.7408 0.0000 O
0.0000 0.0000 0.0000 Er
0.0000 0.5000 0.0000 Ba
0.5000 0.5000 0.5000 Ba
0.5000 0.0000 0.0000 Ba
0.0000 0.0000 0.5000 Ba
0.5000 0.5000 0.0000 Sb
0.5000 0.0000 0.5000 Sb
0.0000 0.5000 0.5000 Sb

(4)
Ba2ErSbO6 (PBE-GGA, optimized geometry); crystal system = trigonal; ΔE_f (raw) = -2.69 eV per atom; total magnetization = 0.00 μB per formula unit
1.0
5.9993 0.0218 0.0154
2.9810 5.2064 0.0155
2.9810 1.7355 4.9085
O Er Ba Sb
6 1 2 1
Direct
0.7405 0.7355 0.2620 O
0.2645 0.7380 0.2595 O
0.7355 0.2620 0.7405 O
0.7380 0.2595 0.2645 O
0.2620 0.7405 0.7355 O
0.2596 0.2645 0.7380 O
0.0000 0.0000 0.0000 Er
0.7500 0.7500 0.7500 Ba
0.2500 0.2500 0.2500 Ba
0.5000 0.5000 0.5000 Sb

(5)
Ba2ErSb3O12 (PBE-GGA, optimized geometry); crystal system = trigonal; ΔE_f (raw) = -1.90 eV per atom; total magnetization = 2.04 μB per formula unit
1.0
-1.2105 5.0576 4.9394
1.9473 -1.4961 6.7388
5.7231 3.4667 2.5827
O Ba Sb Er
12 2 3 1
Direct
0.2974 0.8925 0.2974 O
0.2974 0.2974 0.8925 O
0.7026 0.7026 0.1075 O
0.8925 0.2974 0.2974 O
0.1075 0.7026 0.7026 O
0.3826 0.8850 0.8850 O
0.6174 0.1150 0.1150 O
0.7026 0.1075 0.7026 O
0.8850 0.3826 0.8850 O
0.1150 0.6174 0.1150 O
0.1150 0.1150 0.6174 O
0.8850 0.8850 0.3826 O
0.6180 0.6180 0.6180 Ba
0.3820 0.3820 0.3820 Ba
0.0000 0.0000 0.5000 Sb
0.0000 0.5000 0.0000 Sb
0.5000 0.0000 0.0000 Sb
0.0000 0.0000 0.0000 Er

(6)
BaEr2ScO5 (PBE-GGA, optimized geometry); crystal system = orthorhombic; ΔE_f (raw) = -3.17 eV per atom; total magnetization = 0.00 μB per formula unit
1.0
3.9509 0.0000 0.0000
0.0000 5.8403 0.0000
-1.9755 -2.9202 5.6778
Er O Sc Ba
2 5 1 1
Direct
0.7848 0.7848 0.5696 Er
0.2152 0.2152 0.4304 Er
0.6471 0.9126 0.2942 O
0.6471 0.3815 0.2942 O
0.3529 0.6185 0.7058 O
0.0000 0.0000 0.0000 O
0.3529 0.0874 0.7058 O
0.5000 0.0000 0.0000 Sc
0.0000 0.5000 0.0000 Ba

(7)
BaEr3Se4O12 (PBE-GGA, optimized geometry); crystal system = trigonal; ΔE_f (raw) = -1.74 eV per atom; total magnetization = 0.30 μB per formula unit
1.0
-7.3406 1.0996 0.6299
1.2492 -2.6043 -6.8664
1.8257 -5.4218 4.7709
Se O Ba Er
4 12 1 3
Direct
0.5000 0.9474 0.0526 Se
0.0526 0.5000 0.9474 Se
0.9474 0.0526 0.5000 Se
0.5000 0.5000 0.5000 Se
0.3392 0.6608 0.5000 O
0.5000 0.3392 0.6608 O
0.3614 0.9584 0.2231 O
0.9584 0.2231 0.3614 O
0.7769 0.0416 0.6386 O
0.5000 0.1117 0.8883 O
0.8883 0.5000 0.1117 O
0.1117 0.8883 0.5000 O
0.2231 0.3614 0.9584 O
0.6608 0.5000 0.3392 O
0.6386 0.7769 0.0416 O
0.0416 0.6386 0.7769 O
0.0000 0.0000 0.0000 Ba
0.5560 0.4440 0.0000 Er
0.0000 0.5560 0.4440 Er
0.4440 0.0000 0.5560 Er

(8)
BaErSiO4 (PBE-GGA, optimized geometry); crystal system = cubic; ΔE_f (raw) = -2.62 eV per atom; total magnetization = 0.62 μB per formula unit
1.0
6.0824 0.0000 0.0000
3.0412 5.2675 0.0000
3.0412 1.7558 4.9663
O Ba Si Er
4 1 1 1
Direct
0.3606 0.3606 0.3606 O
0.3606 0.9183 0.3606 O
0.9183 0.3606 0.3606 O
0.3606 0.3606 0.9183 O
0.7500 0.7500 0.7500 Ba
0.2500 0.2500 0.2500 Si
0.5000 0.5000 0.5000 Er